MoIBr2 | GGA-PBE | optimized geometry

Results
Raw formation energy = 0.360 eV/atom
E_tot = -3.572 eV/atom
Excess energy over the best structure of this formula in the dataset = 347.8 meV/atom

Cell and atoms, written as CIF:
```
data_MoIBr2
_chemical_formula_sum 'Mo4 I4 Br8'
_space_group_name_H-M_alt 'I -4 2 d'
_space_group_IT_number 122
_space_group_name_Hall 'I -4 2bw'
_cell_length_a 7.4876
_cell_length_b 7.4876
_cell_length_c 9.9938
_cell_angle_alpha 90.00
_cell_angle_beta 90.00
_cell_angle_gamma 90.00
loop_
_atom_site_label
_atom_site_fract_x
_atom_site_fract_y
_atom_site_fract_z
_atom_site_occupancy
Mo1 0.0000 0.0000 0.0000 1
I1 0.0000 0.0000 0.5000 1
Br1 0.1253 0.7500 0.1250 1
```

Nd5Er3Se8 | GGA-PBE | optimized geometry

Results
Raw formation energy = -1.782 eV/atom
E_tot = -5.869 eV/atom

Cell and atoms, written as CIF:
```
data_Nd5Er3Se8
_chemical_formula_sum 'Nd15 Er9 Se24'
_space_group_name_H-M_alt 'R -3 m'
_space_group_IT_number 166
_space_group_name_Hall '-R 3 2"'
_cell_length_a 8.2509
_cell_length_b 8.2509
_cell_length_c 20.7475
_cell_angle_alpha 90.00
_cell_angle_beta 90.00
_cell_angle_gamma 120.00
loop_
_atom_site_label
_atom_site_fract_x
_atom_site_fract_y
_atom_site_fract_z
_atom_site_occupancy
Nd1 0.0000 0.0000 0.0000 1
Nd2 0.0000 0.0000 0.5000 1
Nd3 0.0000 0.5000 0.0000 1
Er1 0.0000 0.5000 0.5000 1
Se1 0.0000 0.0000 0.2437 1
Se2 0.0085 0.5043 0.7544 1
```

KNa2Tl3 | GGA-PBE | optimized geometry

Results
Energy of formation from the pure elements = -0.05 eV/atom
E_tot = -1.853 eV/atom
Excess energy over the best structure of this formula in the dataset = 12.0 meV/atom

Cell and atoms, written as CIF:
```
data_KNa2Tl3
_chemical_formula_sum 'K4 Na8 Tl12'
_space_group_name_H-M_alt 'C m c m'
_space_group_IT_number 63
_space_group_name_Hall '-C 2c 2'
_cell_length_a 12.1546
_cell_length_b 11.4743
_cell_length_c 6.1094
_cell_angle_alpha 90.00
_cell_angle_beta 90.00
_cell_angle_gamma 90.00
loop_
_atom_site_label
_atom_site_fract_x
_atom_site_fract_y
_atom_site_fract_z
_atom_site_occupancy
K1 0.0000 0.2203 0.2500 1
Na1 0.2348 0.5000 0.0000 1
Tl1 0.0000 0.4296 0.7500 1
Tl2 0.1892 0.2408 0.7500 1
```

Cs2KPbCl5 | GGA-PBE | optimized geometry

Results
Raw formation energy = -1.650 eV/atom
E_tot = -3.400 eV/atom

Cell and atoms, written as CIF:
```
data_Cs2KPbCl5
_chemical_formula_sum 'Cs4 K2 Pb2 Cl10'
_space_group_name_H-M_alt 'I m m m'
_space_group_IT_number 71
_space_group_name_Hall '-I 2 2'
_cell_length_a 5.5740
_cell_length_b 7.9028
_cell_length_c 16.7965
_cell_angle_alpha 90.00
_cell_angle_beta 90.00
_cell_angle_gamma 90.00
loop_
_atom_site_label
_atom_site_fract_x
_atom_site_fract_y
_atom_site_fract_z
_atom_site_occupancy
Cs1 0.0000 0.0000 0.2062 1
K1 0.0000 0.5000 0.0000 1
Pb1 0.0000 0.5000 0.5000 1
Cl1 0.0000 0.0000 0.0000 1
Cl2 0.0000 0.2450 0.3754 1
```

KRbNaSb | GGA-PBE | optimized geometry

Results
Raw formation energy = -0.383 eV/atom
E_tot = -2.260 eV/atom

Cell and atoms, written as CIF:
```
data_KRbNaSb
_chemical_formula_sum 'K4 Rb4 Na4 Sb4'
_space_group_name_H-M_alt 'F -4 3 m'
_space_group_IT_number 216
_space_group_name_Hall 'F -4 2 3'
_cell_length_a 8.2870
_cell_length_b 8.2870
_cell_length_c 8.2870
_cell_angle_alpha 90.00
_cell_angle_beta 90.00
_cell_angle_gamma 90.00
loop_
_atom_site_label
_atom_site_fract_x
_atom_site_fract_y
_atom_site_fract_z
_atom_site_occupancy
K1 0.0000 0.0000 0.0000 1
Rb1 0.2500 0.2500 0.7500 1
Na1 0.0000 0.0000 0.5000 1
Sb1 0.2500 0.2500 0.2500 1
```

KCa2Np2O7 | GGA-PBE | optimized geometry

Results
Raw formation energy = -2.829 eV/atom
E_tot = -8.303 eV/atom

Cell and atoms, written as CIF:
```
data_KCa2Np2O7
_chemical_formula_sum 'K2 Ca4 Np4 O14'
_space_group_name_H-M_alt 'I 4/m m m'
_space_group_IT_number 139
_space_group_name_Hall '-I 4 2'
_cell_length_a 4.4612
_cell_length_b 4.4612
_cell_length_c 19.3690
_cell_angle_alpha 90.00
_cell_angle_beta 90.00
_cell_angle_gamma 90.00
loop_
_atom_site_label
_atom_site_fract_x
_atom_site_fract_y
_atom_site_fract_z
_atom_site_occupancy
K1 0.0000 0.0000 0.0000 1
Ca1 0.0000 0.5000 0.2500 1
Np1 0.0000 0.0000 0.3898 1
O1 0.0000 0.0000 0.2757 1
O2 0.0000 0.0000 0.5000 1
O3 0.0000 0.5000 0.1211 1
```

Y2Si2Bi | GGA-PBE | optimized geometry

Results
Raw formation energy = -0.616 eV/atom
E_tot = -6.147 eV/atom

Cell and atoms, written as CIF:
```
data_Y2Si2Bi
_chemical_formula_sum 'Y4 Si4 Bi2'
_space_group_name_H-M_alt 'P 4/m b m'
_space_group_IT_number 127
_space_group_name_Hall '-P 4 2ab'
_cell_length_a 7.5908
_cell_length_b 7.5908
_cell_length_c 4.0735
_cell_angle_alpha 90.00
_cell_angle_beta 90.00
_cell_angle_gamma 90.00
loop_
_atom_site_label
_atom_site_fract_x
_atom_site_fract_y
_atom_site_fract_z
_atom_site_occupancy
Y1 0.1794 0.3206 0.0000 1
Si1 0.1096 0.6096 0.5000 1
Bi1 0.0000 0.0000 0.5000 1
```

La7PmSm4 | GGA-PBE | optimized geometry

Results
Energy of formation from the pure elements = 0.01 eV/atom
E_tot = -4.830 eV/atom
Excess energy over the best structure of this formula in the dataset = 0.0 meV/atom

Cell and atoms, written as CIF:
```
data_La7PmSm4
_chemical_formula_sum 'La7 Pm1 Sm4'
_space_group_name_H-M_alt 'P -1'
_space_group_IT_number 2
_space_group_name_Hall '-P 1'
_cell_length_a 6.4685
_cell_length_b 7.4512
_cell_length_c 9.1838
_cell_angle_alpha 90.06
_cell_angle_beta 103.61
_cell_angle_gamma 90.03
loop_
_atom_site_label
_atom_site_fract_x
_atom_site_fract_y
_atom_site_fract_z
_atom_site_occupancy
La1 0.0000 0.0000 0.0000 1
La2 0.2219 0.4991 0.6674 1
La3 0.2797 0.7511 0.3333 1
La4 0.4994 0.7508 0.9983 1
Pm1 0.0000 0.5000 0.0000 1
Sm1 0.2218 0.9999 0.6671 1
Sm2 0.2757 0.2479 0.3305 1
```

GaSn2Cl8 | GGA-PBE | optimized geometry

Results
Raw formation energy = -0.925 eV/atom
E_tot = -3.271 eV/atom

Cell and atoms, written as CIF:
```
data_GaSn2Cl8
_chemical_formula_sum 'Ga1 Sn2 Cl8'
_space_group_name_H-M_alt 'P -1'
_space_group_IT_number 2
_space_group_name_Hall '-P 1'
_cell_length_a 6.5694
_cell_length_b 6.8129
_cell_length_c 8.3499
_cell_angle_alpha 73.11
_cell_angle_beta 89.55
_cell_angle_gamma 80.40
loop_
_atom_site_label
_atom_site_fract_x
_atom_site_fract_y
_atom_site_fract_z
_atom_site_occupancy
Ga1 0.0000 0.0000 0.0000 1
Sn1 0.4962 0.0141 0.7383 1
Cl1 0.1011 0.2261 0.7490 1
Cl2 0.1176 0.2033 0.1595 1
Cl3 0.3350 0.7718 0.0389 1
Cl4 0.4196 0.7592 0.5709 1
```

Pm8InSn6 | GGA-PBE | optimized geometry

Results
Energy of formation from the pure elements = -0.58 eV/atom
E_tot = -4.895 eV/atom

Cell and atoms, written as CIF:
```
data_Pm8InSn6
_chemical_formula_sum 'Pm24 In3 Sn18'
_space_group_name_H-M_alt 'R -3'
_space_group_IT_number 148
_space_group_name_Hall '-R 3'
_cell_length_a 9.3794
_cell_length_b 9.3794
_cell_length_c 19.3548
_cell_angle_alpha 90.00
_cell_angle_beta 90.00
_cell_angle_gamma 120.00
loop_
_atom_site_label
_atom_site_fract_x
_atom_site_fract_y
_atom_site_fract_z
_atom_site_occupancy
Pm1 0.0000 0.0000 0.1671 1
Pm2 0.0061 0.2916 0.5977 1
In1 0.0000 0.0000 0.5000 1
Sn1 0.0037 0.3651 0.4284 1
```

CuCIO2 | GGA-PBE | optimized geometry

Results
Raw formation energy = 1.160 eV/atom
E_tot = -3.797 eV/atom
Excess energy over the best structure of this formula in the dataset = 0.0 meV/atom

Cell and atoms, written as CIF:
```
data_CuCIO2
_chemical_formula_sum 'Cu1 C1 I1 O2'
_space_group_name_H-M_alt 'P 4/m m m'
_space_group_IT_number 123
_space_group_name_Hall '-P 4 2'
_cell_length_a 3.4835
_cell_length_b 3.4835
_cell_length_c 6.5107
_cell_angle_alpha 90.00
_cell_angle_beta 90.00
_cell_angle_gamma 90.00
loop_
_atom_site_label
_atom_site_fract_x
_atom_site_fract_y
_atom_site_fract_z
_atom_site_occupancy
Cu1 0.0000 0.0000 0.0000 1
C1 0.5000 0.5000 0.5000 1
I1 0.5000 0.5000 0.0000 1
O1 0.0000 0.5000 0.5000 1
```

TbHo6Tm3 | GGA-PBE | optimized geometry

Results
Energy of formation from the pure elements = 0.15 eV/atom
E_tot = -4.401 eV/atom
Excess energy over the best structure of this formula in the dataset = 24.3 meV/atom

Cell and atoms, written as CIF:
```
data_TbHo6Tm3
_chemical_formula_sum 'Tb4 Ho24 Tm12'
_space_group_name_H-M_alt 'C m c 21'
_space_group_IT_number 36
_space_group_name_Hall 'C 2c -2'
_cell_length_a 10.8727
_cell_length_b 18.7477
_cell_length_c 6.1191
_cell_angle_alpha 90.00
_cell_angle_beta 90.00
_cell_angle_gamma 90.00
loop_
_atom_site_label
_atom_site_fract_x
_atom_site_fract_y
_atom_site_fract_z
_atom_site_occupancy
Tb1 0.0000 0.2076 0.0000 1
Ho1 0.0000 0.0479 0.7651 1
Ho2 0.0000 0.2844 0.4912 1
Ho3 0.1645 0.4541 0.3791 1
Ho4 0.2503 0.2098 0.7073 1
Tm1 0.0000 0.3897 0.9205 1
Tm2 0.1716 0.1087 0.3021 1
```